# Rb3SbPb | Alexandria via LeMat-Bulk | PBE-GGA | relaxed
data_Rb3SbPb
_space_group_name_H-M_alt 'P 1'
_space_group_IT_number 1
_space_group_name_Hall 'P 1'
_cell_length_a 9.024
_cell_length_b 9.024
_cell_length_c 9.024
_cell_angle_alpha 90.93
_cell_angle_beta 111.22
_cell_angle_gamma 128.45
loop_
_atom_site_label
_atom_site_type_symbol
_atom_site_fract_x
_atom_site_fract_y
_atom_site_fract_z
Rb1 Rb 0.985 0.216 0.737
Rb2 Rb 0.985 0.748 0.269
Rb3 Rb 0.480 0.716 0.731
Rb4 Rb 0.011 0.229 0.282
Rb5 Rb 0.480 0.248 0.263
Rb6 Rb 0.947 0.729 0.718
Sb1 Sb 0.581 0.731 0.350
Sb2 Sb 0.382 0.231 0.650
Pb1 Pb 0.664 0.233 0.931
Pb2 Pb 0.302 0.733 0.069
# - total magnetic moment (Bohr magnetons per cell) = 0.0
# - mass density (g/cm³) = 3.84
# - ΔE_f (raw) (eV per atom) = -0.14



# Rb2Sb2Pb | Alexandria via LeMat-Bulk | PBE-GGA | relaxed
data_Rb2Sb2Pb
_space_group_name_H-M_alt 'P 1'
_space_group_IT_number 1
_space_group_name_Hall 'P 1'
_cell_length_a 5.881
_cell_length_b 7.194
_cell_length_c 10.934
_cell_angle_alpha 80.54
_cell_angle_beta 74.40
_cell_angle_gamma 65.87
loop_
_atom_site_label
_atom_site_type_symbol
_atom_site_fract_x
_atom_site_fract_y
_atom_site_fract_z
Rb1 Rb 0.323 0.257 0.098
Rb2 Rb 0.487 0.341 0.685
Rb3 Rb 0.677 0.743 0.902
Rb4 Rb 0.513 0.659 0.315
Sb1 Sb 0.979 0.150 0.892
Sb2 Sb 0.129 0.297 0.444
Sb3 Sb 0.021 0.850 0.108
Sb4 Sb 0.871 0.703 0.556
Pb1 Pb 0.785 0.071 0.360
Pb2 Pb 0.215 0.929 0.640
# - total magnetic moment (Bohr magnetons per cell) = 0.0
# - mass density (g/cm³) = 5.09
# - ΔE_f (raw) (eV per atom) = -0.33